A PBEsol-optimized structure of LiScTl2, computed with meta-GGA SCAN. Values from VASP.

Quantum ESPRESSO input file:
```
&SYSTEM
  ibrav = 0, nat = 4, ntyp = 3
/
ATOMIC_SPECIES
Tl 204.38 Tl.upf
Sc 44.96 Sc.upf
Li 6.94 Li.upf
CELL_PARAMETERS angstrom
3.5516 0.0000 0.0000
0.0000 4.9080 0.0000
0.0000 0.0000 4.9080
ATOMIC_POSITIONS crystal
Tl 0.0000 0.5000 0.0000
Tl 0.0000 0.0000 0.5000
Sc 0.5000 0.0000 0.0000
Li 0.5000 0.5000 0.5000
```

Results
As for the energy relative to the elements: -0.45 eV/atom. For the energy above the lowest structure with this stoichiometry, the calculation gives 0 meV per atom. Its theoretical density is 8.94 g/cm3. As for the space group: P4/mmm (123).

=====

A PBEsol-optimized structure of LiScTl2, computed with meta-GGA SCAN. Values from VASP.

Quantum ESPRESSO input file:
```
&SYSTEM
  ibrav = 0, nat = 4, ntyp = 3
/
ATOMIC_SPECIES
Sc 44.96 Sc.upf
Li 6.94 Li.upf
Tl 204.38 Tl.upf
CELL_PARAMETERS angstrom
-0.1544 3.2283 -3.8444
-4.1008 0.2730 -2.8868
-2.9708 4.0428 0.2335
ATOMIC_POSITIONS crystal
Sc 0.2500 0.2500 0.2500
Li 0.5000 0.5000 0.5000
Tl 0.0000 0.0000 0.0000
Tl 0.7500 0.7500 0.7500
```

Results
As for the energy relative to the elements: -0.06 eV/atom. For the energy above the lowest structure with this stoichiometry, the calculation gives 384 meV per atom. Its theoretical density is 8.54 g/cm3. As for the space group: F-43m (216).

=====

A PBEsol-optimized structure of LiScTl2, computed with meta-GGA SCAN. Values from VASP.

Quantum ESPRESSO input file:
```
&SYSTEM
  ibrav = 0, nat = 4, ntyp = 3
/
ATOMIC_SPECIES
Tl 204.38 Tl.upf
Li 6.94 Li.upf
Sc 44.96 Sc.upf
CELL_PARAMETERS angstrom
4.9347 0.0000 0.0000
2.4673 4.2736 0.0000
2.4673 1.4245 4.0292
ATOMIC_POSITIONS crystal
Tl 0.2500 0.2500 0.2500
Tl 0.7500 0.7500 0.7500
Li 0.0000 0.0000 0.0000
Sc 0.5000 0.5000 0.5000
```

Results
As for the energy relative to the elements: -0.42 eV/atom. For the energy above the lowest structure with this stoichiometry, the calculation gives 31 meV per atom. Its theoretical density is 9.00 g/cm3. As for the space group: Fm-3m (225).

=====

A PBEsol-optimized structure of Li2ScTl2, computed with meta-GGA SCAN. Values from VASP.

Quantum ESPRESSO input file:
```
&SYSTEM
  ibrav = 0, nat = 10, ntyp = 3
/
ATOMIC_SPECIES
Tl 204.38 Tl.upf
Li 6.94 Li.upf
Sc 44.96 Sc.upf
CELL_PARAMETERS angstrom
3.1566 0.0000 0.0000
0.0000 7.8525 0.0000
0.0000 0.0000 7.8525
ATOMIC_POSITIONS crystal
Tl 0.5000 0.3183 0.1817
Tl 0.5000 0.1817 0.6817
Tl 0.5000 0.6817 0.8183
Tl 0.5000 0.8183 0.3183
Li 0.0000 0.1161 0.3839
Li 0.0000 0.8839 0.6161
Li 0.0000 0.3839 0.8839
Li 0.0000 0.6161 0.1161
Sc 0.0000 0.5000 0.5000
Sc 0.0000 0.0000 0.0000
```

Results
As for the energy relative to the elements: -0.33 eV/atom. Its theoretical density is 7.98 g/cm3. As for the space group: P4/mbm (127).